# HfFeSiIr PBE optimized geometry
# energy relative to the lowest polymorph listed for this composition	0.000	eV per formula unit
# ρ	13.1	g/cm3
# E_tot	-139.53	eV per cell
data_HfFeSiIr
_chemical_formula_sum 'Hf4 Fe4 Si4 Ir4'
_cell_length_a 6.128
_cell_length_b 6.128
_cell_length_c 6.128
_cell_angle_alpha 90.00
_cell_angle_beta 90.00
_cell_angle_gamma 90.00
_symmetry_space_group_name_H-M 'F -4 3 m'
_symmetry_Int_Tables_number 216
_symmetry_space_group_name_Hall 'F -4 2 3'
loop_
_atom_site_label
_atom_site_fract_x
_atom_site_fract_y
_atom_site_fract_z
Hf1 0.000 0.000 0.000
Fe1 0.250 0.250 0.750
Si1 0.000 0.000 0.500
Ir1 0.250 0.250 0.250